No. 1
A plane-wave DFT calculation with PBE was carried out for a geometry-optimized AgBC2O structure.

Results
Calculated volume (Å³/cell): 47.6
ρ (Mg/m³): 5.53
Raw total energy (eV/atom): -5.012
Magnetization (μB per atom): 0.00
DOS(E_F) (states/eV per cell): 2.5
Formation energy (no corrections) (meV/atom): 1575

```
data_AgBC2O
_chemical_formula_sum 'Ag1 B1 C2 O1'
_cell_length_a 3.306
_cell_length_b 3.306
_cell_length_c 4.357
_cell_angle_alpha 90.00
_cell_angle_beta 90.00
_cell_angle_gamma 90.00
_symmetry_space_group_name_H-M 'P 4/m m m'
_symmetry_Int_Tables_number 123
_symmetry_space_group_name_Hall '-P 4 2'
loop_
_atom_site_label
_atom_site_type_symbol
_atom_site_fract_x
_atom_site_fract_y
_atom_site_fract_z
_atom_site_occupancy
Ag1 Ag 0.000 0.000 0.000 1
B1 B 0.500 0.500 0.500 1
C1 C 0.000 0.500 0.500 1
O1 O 0.500 0.500 0.000 1
```

No. 2
A plane-wave DFT calculation with PBE was carried out for a geometry-optimized AgB2C2O7 structure.

Results
Calculated volume (Å³/cell): 490.5
ρ (Mg/m³): 2.70
Raw total energy (eV/atom): -7.173
Magnetization (μB per atom): 0.00
DOS(E_F) (states/eV per cell): 3.4
Formation energy (no corrections) (meV/atom): -1393

```
data_AgB2C2O7
_chemical_formula_sum 'Ag3 B6 C6 O21'
_cell_length_a 4.2566
_cell_length_b 4.2566
_cell_length_c 31.2568
_cell_angle_alpha 90.00
_cell_angle_beta 90.00
_cell_angle_gamma 120.00
_symmetry_space_group_name_H-M 'R 3 2'
_symmetry_Int_Tables_number 155
_symmetry_space_group_name_Hall 'R 3 2"'
loop_
_atom_site_label
_atom_site_type_symbol
_atom_site_fract_x
_atom_site_fract_y
_atom_site_fract_z
_atom_site_occupancy
Ag1 Ag 0.0000 0.0000 0.0000 1
B1 B 0.0000 0.0000 0.4559 1
C1 C 0.0000 0.0000 0.2280 1
O1 O 0.0000 0.0000 0.5000 1
O2 O 0.0158 0.3813 0.8956 1
```

No. 3
A plane-wave DFT calculation with PBE was carried out for a geometry-optimized Ta2AgBC structure.

Results
Calculated volume (Å³/cell): 75.3
ρ (Mg/m³): 10.86
Raw total energy (eV/atom): -7.128
Magnetization (μB per atom): 0.00
DOS(E_F) (states/eV per cell): 3.8
Energy of formation from the pure elements (meV/atom): 1363

```
data_Ta2AgBC
_chemical_formula_sum 'Ta2 Ag1 B1 C1'
_cell_length_a 4.328
_cell_length_b 4.328
_cell_length_c 4.019
_cell_angle_alpha 90.00
_cell_angle_beta 90.00
_cell_angle_gamma 90.00
_symmetry_space_group_name_H-M 'P 4/m m m'
_symmetry_Int_Tables_number 123
_symmetry_space_group_name_Hall '-P 4 2'
loop_
_atom_site_label
_atom_site_type_symbol
_atom_site_fract_x
_atom_site_fract_y
_atom_site_fract_z
_atom_site_occupancy
Ta1 Ta 0.000 0.500 0.000 1
Ag1 Ag 0.000 0.000 0.500 1
B1 B 0.000 0.000 0.000 1
C1 C 0.500 0.500 0.500 1
```

No. 4
A plane-wave DFT calculation with PBE was carried out for a geometry-optimized TiAg2BC structure.

Results
Calculated volume (Å³/cell): 74.1
ρ (Mg/m³): 6.42
Raw total energy (eV/atom): -5.176
Magnetization (μB per atom): 0.00
DOS(E_F) (states/eV per cell): 4.0
Energy of formation from the pure elements (meV/atom): 724

```
data_TiAg2BC
_chemical_formula_sum 'Ti1 Ag2 B1 C1'
_cell_length_a 5.072
_cell_length_b 5.072
_cell_length_c 2.879
_cell_angle_alpha 90.00
_cell_angle_beta 90.00
_cell_angle_gamma 90.00
_symmetry_space_group_name_H-M 'P 4/m m m'
_symmetry_Int_Tables_number 123
_symmetry_space_group_name_Hall '-P 4 2'
loop_
_atom_site_label
_atom_site_type_symbol
_atom_site_fract_x
_atom_site_fract_y
_atom_site_fract_z
_atom_site_occupancy
Ti1 Ti 0.000 0.000 0.000 1
Ag1 Ag 0.000 0.500 0.500 1
B1 B 0.500 0.500 0.000 1
C1 C 0.500 0.500 0.500 1
```

No. 5
A plane-wave DFT calculation with PBE was carried out for a geometry-optimized ZnAgBC2 structure.

Results
Calculated volume (Å³/cell): 74.8
ρ (Mg/m³): 4.62
Raw total energy (eV/atom): -3.097
Magnetization (μB per atom): 0.04
DOS(E_F) (states/eV per cell): 2.7
Energy of formation from the pure elements (meV/atom): 2753

```
data_ZnAgBC2
_chemical_formula_sum 'Zn1 Ag1 B1 C2'
_cell_length_a 3.758
_cell_length_b 3.758
_cell_length_c 5.296
_cell_angle_alpha 90.00
_cell_angle_beta 90.00
_cell_angle_gamma 90.00
_symmetry_space_group_name_H-M 'P 4/m m m'
_symmetry_Int_Tables_number 123
_symmetry_space_group_name_Hall '-P 4 2'
loop_
_atom_site_label
_atom_site_type_symbol
_atom_site_fract_x
_atom_site_fract_y
_atom_site_fract_z
_atom_site_occupancy
Zn1 Zn 0.000 0.000 0.000 1
Ag1 Ag 0.000 0.000 0.500 1
B1 B 0.500 0.500 0.500 1
C1 C 0.000 0.500 0.000 1
```

No. 6
A plane-wave DFT calculation with PBE was carried out for a geometry-optimized ZnAgB2C structure.

Results
Calculated volume (Å³/cell): 82.6
ρ (Mg/m³): 4.16
Raw total energy (eV/atom): -2.796
Magnetization (μB per atom): 0.26
DOS(E_F) (states/eV per cell): 1.9
Energy of formation from the pure elements (meV/atom): 2545

```
data_ZnAgB2C
_chemical_formula_sum 'Zn1 Ag1 B2 C1'
_cell_length_a 4.022
_cell_length_b 4.022
_cell_length_c 5.108
_cell_angle_alpha 90.00
_cell_angle_beta 90.00
_cell_angle_gamma 90.00
_symmetry_space_group_name_H-M 'P 4/m m m'
_symmetry_Int_Tables_number 123
_symmetry_space_group_name_Hall '-P 4 2'
loop_
_atom_site_label
_atom_site_type_symbol
_atom_site_fract_x
_atom_site_fract_y
_atom_site_fract_z
_atom_site_occupancy
Zn1 Zn 0.000 0.000 0.000 1
Ag1 Ag 0.000 0.000 0.500 1
B1 B 0.000 0.500 0.500 1
C1 C 0.500 0.500 0.000 1
```

No. 7
A plane-wave DFT calculation with PBE was carried out for a geometry-optimized CaAgB3 structure.

Results
Calculated volume (Å³/cell): 78.4
ρ (Mg/m³): 3.82
Raw total energy (eV/atom): -3.484
Magnetization (μB per atom): 0.00
DOS(E_F) (states/eV per cell): 4.0
Energy of formation from the pure elements (meV/atom): 1493

```
data_CaAgB3
_chemical_formula_sum 'Ca1 Ag1 B3'
_cell_length_a 4.279
_cell_length_b 4.279
_cell_length_c 4.279
_cell_angle_alpha 90.00
_cell_angle_beta 90.00
_cell_angle_gamma 90.00
_symmetry_space_group_name_H-M 'P m -3 m'
_symmetry_Int_Tables_number 221
_symmetry_space_group_name_Hall '-P 4 2 3'
loop_
_atom_site_label
_atom_site_type_symbol
_atom_site_fract_x
_atom_site_fract_y
_atom_site_fract_z
_atom_site_occupancy
Ca1 Ca 0.000 0.000 0.000 1
Ag1 Ag 0.500 0.500 0.500 1
B1 B 0.000 0.500 0.500 1
```

No. 8
A plane-wave DFT calculation with PBE was carried out for a geometry-optimized CaAgB3 structure.

Results
Calculated volume (Å³/cell): 104.9
ρ (Mg/m³): 2.86
Raw total energy (eV/atom): -2.297
Magnetization (μB per atom): 0.00
DOS(E_F) (states/eV per cell): 5.2
Energy of formation from the pure elements (meV/atom): 2680

```
data_CaAgB3
_chemical_formula_sum 'Ca1 Ag1 B3'
_cell_length_a 4.716
_cell_length_b 4.716
_cell_length_c 4.716
_cell_angle_alpha 90.00
_cell_angle_beta 90.00
_cell_angle_gamma 90.00
_symmetry_space_group_name_H-M 'P m -3 m'
_symmetry_Int_Tables_number 221
_symmetry_space_group_name_Hall '-P 4 2 3'
loop_
_atom_site_label
_atom_site_type_symbol
_atom_site_fract_x
_atom_site_fract_y
_atom_site_fract_z
_atom_site_occupancy
Ca1 Ca 0.000 0.000 0.000 1
Ag1 Ag 0.500 0.500 0.500 1
B1 B 0.000 0.000 0.500 1
```

No. 9
A plane-wave DFT calculation with PBE was carried out for a geometry-optimized Ca2AgBCl structure.

Results
Calculated volume (Å³/cell): 117.4
ρ (Mg/m³): 3.31
Raw total energy (eV/atom): -2.852
Magnetization (μB per atom): 0.00
DOS(E_F) (states/eV per cell): 2.9
Formation energy (no corrections) (meV/atom): 224

```
data_Ca2AgBCl
_chemical_formula_sum 'Ca2 Ag1 B1 Cl1'
_cell_length_a 5.328
_cell_length_b 5.328
_cell_length_c 4.136
_cell_angle_alpha 90.00
_cell_angle_beta 90.00
_cell_angle_gamma 90.00
_symmetry_space_group_name_H-M 'P 4/m m m'
_symmetry_Int_Tables_number 123
_symmetry_space_group_name_Hall '-P 4 2'
loop_
_atom_site_label
_atom_site_type_symbol
_atom_site_fract_x
_atom_site_fract_y
_atom_site_fract_z
_atom_site_occupancy
Ca1 Ca 0.000 0.500 0.000 1
Ag1 Ag 0.000 0.000 0.500 1
B1 B 0.500 0.500 0.500 1
Cl1 Cl 0.500 0.500 0.000 1
```

No. 10
A plane-wave DFT calculation with PBE was carried out for a geometry-optimized CaAg2BF structure.

Results
Calculated volume (Å³/cell): 99.0
ρ (Mg/m³): 4.79
Raw total energy (eV/atom): -3.160
Magnetization (μB per atom): 0.00
DOS(E_F) (states/eV per cell): 1.9
Formation energy (no corrections) (meV/atom): 90

```
data_CaAg2BF
_chemical_formula_sum 'Ca1 Ag2 B1 F1'
_cell_length_a 4.808
_cell_length_b 4.808
_cell_length_c 4.283
_cell_angle_alpha 90.00
_cell_angle_beta 90.00
_cell_angle_gamma 90.00
_symmetry_space_group_name_H-M 'P 4/m m m'
_symmetry_Int_Tables_number 123
_symmetry_space_group_name_Hall '-P 4 2'
loop_
_atom_site_label
_atom_site_type_symbol
_atom_site_fract_x
_atom_site_fract_y
_atom_site_fract_z
_atom_site_occupancy
Ca1 Ca 0.000 0.000 0.000 1
Ag1 Ag 0.000 0.500 0.500 1
B1 B 0.500 0.500 0.000 1
F1 F 0.000 0.000 0.500 1
```

No. 11
A plane-wave DFT calculation with PBE was carried out for a geometry-optimized CaAgBF6 structure.

Results
Calculated volume (Å³/cell): 192.8
ρ (Mg/m³): 2.35
Raw total energy (eV/atom): -5.267
Magnetization (μB per atom): 0.00
DOS(E_F) (states/eV per cell): 0.0
Formation energy (no corrections) (meV/atom): -2738

```
data_CaAgBF6
_chemical_formula_sum 'Ca1 Ag1 B1 F6'
_cell_length_a 5.351
_cell_length_b 5.830
_cell_length_c 6.982
_cell_angle_alpha 88.03
_cell_angle_beta 85.06
_cell_angle_gamma 62.70
_symmetry_space_group_name_H-M 'P 1'
_symmetry_Int_Tables_number 1
loop_
_symmetry_equiv_pos_as_xyz
'x,y,z'
loop_
_atom_site_label
_atom_site_type_symbol
_atom_site_fract_x
_atom_site_fract_y
_atom_site_fract_z
_atom_site_occupancy
Ca1 Ca 0.000 0.000 0.000 1
Ag1 Ag 0.507 0.986 0.500 1
B1 B 0.709 0.581 0.000 1
F1 F 0.229 0.985 0.731 1
F2 F 0.453 0.739 0.109 1
F3 F 0.662 0.417 0.878 1
F4 F 0.781 0.993 0.269 1
F5 F 0.807 0.739 0.891 1
F6 F 0.920 0.419 0.121 1
```

No. 12
A plane-wave DFT calculation with PBE was carried out for a geometry-optimized CaAg2BF8 structure.

Results
Calculated volume (Å³/cell): 150.8
ρ (Mg/m³): 4.61
Raw total energy (eV/atom): -4.459
Magnetization (μB per atom): 0.08
DOS(E_F) (states/eV per cell): 4.3
Formation energy (no corrections) (meV/atom): -2013

```
data_CaAg2BF8
_chemical_formula_sum 'Ca1 Ag2 B1 F8'
_cell_length_a 5.3058
_cell_length_b 5.3058
_cell_length_c 6.1864
_cell_angle_alpha 90.00
_cell_angle_beta 90.00
_cell_angle_gamma 120.00
_symmetry_space_group_name_H-M 'P -3 m 1'
_symmetry_Int_Tables_number 164
_symmetry_space_group_name_Hall '-P 3 2"'
loop_
_atom_site_label
_atom_site_type_symbol
_atom_site_fract_x
_atom_site_fract_y
_atom_site_fract_z
_atom_site_occupancy
Ca1 Ca 0.0000 0.0000 0.0000 1
Ag1 Ag 0.3333 0.6667 0.3672 1
B1 B 0.0000 0.0000 0.5000 1
F1 F 0.1430 0.2861 0.6575 1
F2 F 0.3333 0.6667 0.0306 1
```